[1]
SrCd2Se: optimized geometry, PBE.

a b c (Å): 5.330 5.330 6.488
angles (deg): 68.11 68.11 44.67
Fractional coordinates of all 4 atoms:
1 Cd 0.032 0.032 0.937
2 Cd 0.787 0.787 0.798
3 Sr 0.218 0.218 0.297
4 Se 0.464 0.464 0.468

Output
ΔE_f (raw): -15.0 kcal/mol of atoms
SG: No. 8

[2]
Sr2CdSe: optimized geometry, PBE.

a b c (Å): 5.644 5.644 5.644
angles (deg): 60.00 60.00 60.00
Fractional coordinates of all 4 atoms:
1 Se 0.000 0.000 0.000
2 Sr 0.750 0.750 0.750
3 Sr 0.250 0.250 0.250
4 Cd 0.500 0.500 0.500

Output
ΔE_f (raw): -17.4 kcal/mol of atoms
SG: No. 225
energy relative to the lowest polymorph listed for this composition: 276 meV/atom

[3]
SrCdSe2: optimized geometry, PBE.

a b c (Å): 3.842 4.097 7.424
angles (deg): 86.90 90.00 90.00
Fractional coordinates of all 4 atoms:
1 Se 0.000 0.728 0.487
2 Se 0.000 0.772 0.013
3 Cd 0.500 0.750 0.750
4 Sr 0.500 0.250 0.250

Output
ΔE_f (raw): -24.8 kcal/mol of atoms
SG: No. 10

[4]
SrCdSe2: optimized geometry, PBE.

a b c (Å): 4.211 4.211 7.527
angles (deg): 73.75 73.75 60.00
Fractional coordinates of all 4 atoms:
1 Cd 0.668 0.668 0.996
2 Se 0.074 0.074 0.778
3 Se 0.259 0.259 0.224
4 Sr 0.499 0.499 0.503

Output
ΔE_f (raw): -27.3 kcal/mol of atoms
SG: No. 160

[5]
SrCd2Se: optimized geometry, PBE.

a b c (Å): 5.426 5.426 5.426
angles (deg): 60.00 60.00 60.00
Fractional coordinates of all 4 atoms:
1 Se 0.500 0.500 0.500
2 Cd 0.000 0.000 0.000
3 Cd 0.250 0.250 0.250
4 Sr 0.750 0.750 0.750

Output
ΔE_f (raw): -12.9 kcal/mol of atoms
SG: No. 216

[6]
SrCd2Se: optimized geometry, PBE.

a b c (Å): 4.147 4.296 6.890
angles (deg): 71.74 90.00 90.00
Fractional coordinates of all 4 atoms:
1 Cd 0.500 0.472 0.186
2 Cd 0.000 0.031 0.069
3 Sr 0.500 0.726 0.667
4 Se 0.000 0.271 0.578

Output
ΔE_f (raw): -17.6 kcal/mol of atoms
SG: No. 6

[7]
SrCdSe2: optimized geometry, PBE.

a b c (Å): 6.015 4.382 4.399
angles (deg): 90.04 90.00 90.00
Fractional coordinates of all 4 atoms:
1 Se 0.500 0.375 0.324
2 Se 0.000 0.875 0.855
3 Sr 0.000 0.375 0.360
4 Cd 0.500 0.875 0.960

Output
ΔE_f (raw): -27.9 kcal/mol of atoms
SG: No. 25

[8]
Sr2CdSe: optimized geometry, PBE.

a b c (Å): 8.642 8.642 4.320
angles (deg): 75.52 75.52 27.10
Fractional coordinates of all 4 atoms:
1 Se 0.290 0.290 0.210
2 Sr 0.942 0.942 0.058
3 Sr 0.720 0.720 0.780
4 Cd 0.548 0.548 0.452

Output
ΔE_f (raw): -21.8 kcal/mol of atoms
SG: No. 44
energy relative to the lowest polymorph listed for this composition: 89 meV/atom